Entry from the Alexandria database: an optimized crystal structure of ZnOsCl2 (PBE).

Cell and atoms, written as POSCAR:
```
ZnOsCl2
1.0
0.000 3.308 3.308
3.308 0.000 3.308
3.308 3.308 0.000
Zn Os Cl
1 1 2
direct
0.000 0.000 0.000 Zn
0.750 0.750 0.750 Os
0.250 0.250 0.250 Cl
0.500 0.500 0.500 Cl
```

Properties
polymorph energy (0 for the lowest one): 112.5 kJ/mol of atoms
DOS(E_F): 0.979 states/eV per atom
space-group type: F-43m
E_form (uncorrected): 1156 meV/atom
spin magnetization: 2.548 μB per formula unit



Entry from the Alexandria database: an optimized crystal structure of Tb6PmNd4 (PBE).

Cell and atoms, written as POSCAR:
```
Tb6PmNd4
1.0
-3.356 3.356 8.511
3.356 -3.356 8.511
3.356 3.356 -8.511
Tb Pm Nd
6 1 4
direct
0.000 0.500 0.500 Tb
0.053 0.699 0.000 Tb
0.301 0.301 0.354 Tb
0.500 0.000 0.500 Tb
0.699 0.053 0.000 Tb
0.947 0.947 0.646 Tb
0.500 0.500 0.000 Pm
0.134 0.134 0.619 Nd
0.486 0.866 0.000 Nd
0.514 0.514 0.381 Nd
0.866 0.486 0.000 Nd
```

Properties
polymorph energy (0 for the lowest one): 0.0 kJ/mol of atoms
DFT formation energy: 0.30 eV/atom
DOS(E_F): 1.403 states/eV per atom
space-group type: I-42m
spin magnetization: 0.000 μB per formula unit



Entry from the Alexandria database: an optimized crystal structure of ZrTl2Mo (PBE).

Cell and atoms, written as POSCAR:
```
ZrTl2Mo
1.0
5.000 -1.856 0.000
5.000 1.856 0.000
-1.657 0.000 4.592
Zr Tl Mo
1 2 1
direct
0.000 0.000 0.000 Zr
0.243 0.243 0.737 Tl
0.757 0.757 0.263 Tl
0.500 0.500 0.500 Mo
```

Properties
polymorph energy (0 for the lowest one): 1.7 kJ/mol of atoms
DFT formation energy: 0.34 eV/atom
DOS(E_F): 0.414 states/eV per atom
space-group type: C2/m
spin magnetization: 0.000 μB per formula unit



Entry from the Alexandria database: an optimized crystal structure of BaHoC2O6 (PBE).

Cell and atoms, written as POSCAR:
```
BaHoC2O6
1.0
4.115 -4.914 0.000
4.115 4.914 0.000
-2.475 0.000 6.611
Ba Ho C O
2 2 4 12
direct
0.138 0.862 0.750 Ba
0.862 0.138 0.250 Ba
0.414 0.586 0.250 Ho
0.586 0.414 0.750 Ho
0.128 0.369 0.753 C
0.369 0.128 0.253 C
0.631 0.872 0.747 C
0.872 0.631 0.247 C
0.070 0.594 0.294 O
0.196 0.237 0.618 O
0.237 0.196 0.118 O
0.292 0.520 0.899 O
0.406 0.930 0.206 O
0.480 0.708 0.601 O
0.520 0.292 0.399 O
0.594 0.070 0.794 O
0.708 0.480 0.101 O
0.763 0.804 0.882 O
0.804 0.763 0.382 O
0.930 0.406 0.706 O
```

Properties
DOS(E_F): 0.176 states/eV per atom
space-group type: C2/c
E_form (uncorrected): -2118 meV/atom
spin magnetization: 0.966 μB per formula unit